Computed, not measured: a relaxed NiAgBr2 crystal at the PBE-GGA level of DFT.

## Properties
Symmetry: No. 99
Distance to the lowest polymorph of the same formula (meV per atom): 207

Unit cell a=3.560 b=3.560 c=7.311 alpha=90.00 beta=90.00 gamma=90.00
Positions (direct):
Br 0.500 0.500 0.371
Br 0.000 0.000 0.911
Ag 0.500 0.500 0.737
Ni 0.000 0.000 0.481